A relaxed structure of PmTmTh2N4, computed with GGA-PBE.

abc: 3.600 6.246 6.189
angles: 109.54 90.00 90.00
Atoms (fractional coordinates):
Pm  0.000  0.000  0.000
Tm  0.500  0.500  0.000
Th  0.500  0.000  0.500
Th  0.000  0.500  0.500
N  0.500  0.259  0.253
N  0.500  0.741  0.747
N  0.000  0.259  0.754
N  0.000  0.741  0.246

D(E_F) (states/eV per cell): 2.71
Uncorrected formation energy (eV per atom): -1.58
Final energy (eV for the cell shown): -70.0